Entry one
DFT (PBE-GGA) results for Ca2ZrGe2 after structural relaxation.

Cell: 4.235 4.235 12.876 Å, 90.00 90.00 90.00°
Space group I4/mmm (No. 139)
One atom of each set of equivalent atoms:
Ca 0.000 0.500 0.250 [4 per cell]
Zr 0.000 0.000 0.000 [2 per cell]
Ge 0.000 0.000 0.408 [4 per cell]

Entry two
DFT (PBE-GGA) results for Ca2ZrGe2 after structural relaxation.

Cell: 8.108 8.108 3.655 Å, 90.00 90.00 90.00°
Space group P4/mbm (No. 127)
One atom of each set of equivalent atoms:
Ca 0.138 0.362 0.000 [4 per cell]
Zr 0.000 0.000 0.500 [2 per cell]
Ge 0.170 0.670 0.500 [4 per cell]

Energies, relative to the best one, in meV per atom: entry one 169; entry two 0.

Entry one
DFT (PBE-GGA) results for Ca3ZrGe after structural relaxation.

Cell: 5.640 5.640 5.640 Å, 90.00 90.00 90.00°
Space group Pm-3m (No. 221)
One atom of each set of equivalent atoms:
Ca 0.000 0.000 0.500 [3 per cell]
Zr 0.000 0.000 0.000 [1 per cell]
Ge 0.500 0.500 0.500 [1 per cell]

Entry two
DFT (PBE-GGA) results for Ca3ZrGe after structural relaxation.

Cell: 5.653 5.653 5.653 Å, 90.00 90.00 90.00°
Space group Pm-3m (No. 221)
One atom of each set of equivalent atoms:
Ca 0.000 0.000 0.500 [3 per cell]
Zr 0.500 0.500 0.500 [1 per cell]
Ge 0.000 0.000 0.000 [1 per cell]

Energies, relative to the best one, in meV per atom: entry one 678; entry two 0.

Entry one
DFT (PBE-GGA) results for Ca2H3 after structural relaxation.

Cell: 5.9386 5.9386 14.6362 Å, 90.00 90.00 120.00°
Space group R-3c (No. 167, hexagonal axes)
One atom of each set of equivalent atoms:
Ca 0.0000 0.0000 0.1355 [12 per cell]
H 0.0000 0.2710 0.2500 [18 per cell]

Entry two
DFT (PBE-GGA) results for Ca2H3 after structural relaxation.

Cell: 6.518 3.774 5.785 Å, 90.00 90.02 90.00°
Space group C2/m (No. 12)
One atom of each set of equivalent atoms:
Ca 0.167 0.000 0.257 [4 per cell]
H 0.000 0.500 0.000 [2 per cell]
H 0.167 0.000 0.657 [4 per cell]

Energies, relative to the best one, in meV per atom: entry one 53; entry two 0.

Entry one
DFT (PBE-GGA) results for CaHf2H after structural relaxation.

Cell: 6.958 6.958 6.958 Å, 90.00 90.00 90.00°
Space group Fm-3m (No. 225)
One atom of each set of equivalent atoms:
Ca 0.000 0.000 0.000 [4 per cell]
Hf 0.250 0.250 0.250 [8 per cell]
H 0.000 0.000 0.500 [4 per cell]

Entry two
DFT (PBE-GGA) results for CaHf2H after structural relaxation.

Cell: 6.317 6.317 8.775 Å, 90.00 90.00 90.00°
Space group I-42d (No. 122)
One atom of each set of equivalent atoms:
Ca 0.000 0.000 0.000 [4 per cell]
Hf 0.038 0.750 0.625 [8 per cell]
H 0.000 0.000 0.500 [4 per cell]

Energies, relative to the best one, in meV per atom: entry one 1169; entry two 0.

Entry one
DFT (PBE-GGA) results for CaHf3H after structural relaxation.

Cell: 4.614 4.614 4.614 Å, 90.00 90.00 90.00°
Space group Pm-3m (No. 221)
One atom of each set of equivalent atoms:
Ca 0.000 0.000 0.000 [1 per cell]
Hf 0.000 0.500 0.500 [3 per cell]
H 0.500 0.500 0.500 [1 per cell]

Entry two
DFT (PBE-GGA) results for CaHf3H after structural relaxation.

Cell: 5.114 5.114 5.114 Å, 90.00 90.00 90.00°
Space group Pm-3m (No. 221)
One atom of each set of equivalent atoms:
Ca 0.000 0.000 0.000 [1 per cell]
Hf 0.000 0.000 0.500 [3 per cell]
H 0.500 0.500 0.500 [1 per cell]

Energies, relative to the best one, in meV per atom: entry one 0; entry two 2253.

Entry one
DFT (PBE-GGA) results for Ca2HgH after structural relaxation.

Cell: 6.980 6.980 7.899 Å, 90.00 90.00 90.00°
Space group I-42d (No. 122)
One atom of each set of equivalent atoms:
Ca 0.157 0.750 0.125 [8 per cell]
Hg 0.000 0.000 0.500 [4 per cell]
H 0.000 0.000 0.000 [4 per cell]

Entry two
DFT (PBE-GGA) results for Ca2HgH after structural relaxation.

Cell: 5.420 12.896 5.390 Å, 90.00 90.00 90.00°
Space group Cccm (No. 66)
One atom of each set of equivalent atoms:
Ca 0.232 0.104 0.000 [8 per cell]
Hg 0.250 0.250 0.500 [4 per cell]
H 0.000 0.000 0.250 [4 per cell]

Entry three
DFT (PBE-GGA) results for Ca2HgH after structural relaxation.

Cell: 3.6974 3.6974 27.5010 Å, 90.00 90.00 120.00°
Space group R-3m (No. 166, hexagonal axes)
One atom of each set of equivalent atoms:
Ca 0.0000 0.0000 0.1149 [6 per cell]
Hg 0.0000 0.0000 0.0000 [3 per cell]
H 0.0000 0.0000 0.5000 [3 per cell]

Energies, relative to the best one, in meV per atom: entry one 97; entry two 0; entry three 404.